# 1
DFT (PBE-GGA) results for a relaxed structure of Ca3Pr3ErS8.

Summary:
DOS at the Fermi energy   4.49 states/eV/cell
Total magnetic moment   0.0 μB per formula unit
Energy relative to the elements, uncorrected   -31.09 eV/f.u.
ρ   4248 kg/m3

a = 8.109 Å, b = 8.109 Å, c = 8.121 Å
α = 119.95°, β = 90.00°, γ = 120.00°
Fractional coordinates of all 15 atoms:
Ca 0.000 0.000 0.000
Ca 0.000 0.500 0.000
Ca 0.500 0.500 0.000
Pr 0.500 0.000 0.500
Pr 0.500 0.500 0.500
Pr 0.000 0.500 0.500
Er 0.000 0.000 0.500
S 0.247 0.495 0.242
S 0.753 0.505 0.758
S 0.761 0.522 0.258
S 0.239 0.478 0.742
S 0.761 0.997 0.258
S 0.239 0.003 0.742
S 0.236 0.997 0.258
S 0.764 0.003 0.742

# 2
DFT (PBE-GGA) results for a relaxed structure of CaPrEr4S8.

Summary:
DOS at the Fermi energy   3.44 states/eV/cell
Total magnetic moment   0.0 μB per formula unit
Energy relative to the elements, uncorrected   -27.75 eV/f.u.
ρ   4892 kg/m3

a = 8.051 Å, b = 8.051 Å, c = 8.146 Å
α = 60.39°, β = 60.39°, γ = 60.00°
Fractional coordinates of all 14 atoms:
Ca 0.374 0.374 0.879
Pr 0.002 0.002 0.995
Er 0.626 0.626 0.123
Er 0.002 0.494 0.502
Er 0.494 0.002 0.502
Er 0.002 0.002 0.502
S 0.247 0.779 0.726
S 0.779 0.247 0.726
S 0.247 0.247 0.726
S 0.239 0.239 0.284
S 0.749 0.231 0.270
S 0.231 0.749 0.270
S 0.749 0.749 0.270
S 0.758 0.758 0.725

# 3
DFT (PBE-GGA) results for a relaxed structure of Ca2PrErS4.

Summary:
DOS at the Fermi energy   3.37 states/eV/cell
Total magnetic moment   0.0 μB per formula unit
Energy relative to the elements, uncorrected   -16.29 eV/f.u.
ρ   4713 kg/m3

a = 3.979 Å, b = 6.914 Å, c = 7.001 Å
α = 109.07°, β = 90.00°, γ = 90.00°
Fractional coordinates of all 8 atoms:
Ca 0.500 0.000 0.500
Ca 0.000 0.500 0.500
Pr 0.500 0.500 0.000
Er 0.000 0.000 0.000
S 0.500 0.239 0.246
S 0.500 0.761 0.754
S 0.000 0.238 0.746
S 0.000 0.762 0.254